A plane-wave DFT calculation with PBE-GGA was carried out for a geometry-optimized AcBe2PO2 structure.

Lattice parameters (Å, degrees): 5.9635 4.4781 6.8016 90.00 110.14 90.00
Closest atoms and distances in Å follow each position.
Space group P2_1/m (No. 11)
Symmetry-distinct sites (fractional):
Ac 0.1740 0.2500 0.3253  2 O 2.49-2.55
Be 0.3630 0.0017 0.7954  2 O 1.62
P 0.2942 0.7500 0.0577  4 Be 2.24-2.26
O 0.1615 0.2500 0.6874  2 Be 1.62
O 0.3843 0.7500 0.6309  2 Be 1.62

E_form (uncorrected) ... -12.6 eV per formula unit
Volume ... 14.211 Å³ per atom
E ... -78.95 eV for the cell shown